Entry from the Alexandria database: a geometry-optimized Y2MgBr structure (PBE).

Unit cell a=5.7003 b=5.7003 c=3.5967 alpha=90.00 beta=90.00 gamma=90.00
Closest atoms and distances in Å follow each position.
Space group P4mm (No. 99)
Unique sites:
Y (0.0000, 0.5000, 0.0000) (multiplicity 2)  2 Br 2.85
Mg (0.0000, 0.0000, 0.5005) (multiplicity 1)  8 Y 3.37, 2 Mg 3.60
Br (0.5000, 0.5000, 0.9984) (multiplicity 1)  4 Y 2.85

Computed properties:
total magnetic moment	0.00	μB/f.u.
crystal system	tetragonal
ΔE to the lowest computed polymorph	66	meV/atom
raw total energy	-4.499	eV/atom

---

Entry from the Alexandria database: a geometry-optimized Y2MgBr structure (PBE).

Unit cell a=3.5859 b=5.3969 c=6.0369 alpha=90.00 beta=90.00 gamma=90.00
Closest atoms and distances in Å follow each position.
Space group Pmmm (No. 47)
Unique sites:
Y (0.0000, 0.0000, 0.0000) (multiplicity 1)  4 Br 3.24, 6 Y 3.51-3.59
Y (0.5000, 0.0000, 0.5000) (multiplicity 1)  4 Mg 3.24, 6 Y 3.51-3.59
Mg (0.0000, 0.5000, 0.5000) (multiplicity 1)  4 Y 3.24, 4 Br 3.51, 2 Mg 3.59
Br (0.5000, 0.5000, 0.0000) (multiplicity 1)  4 Y 3.24, 4 Mg 3.51, 2 Br 3.59

Computed properties:
total magnetic moment	0.00	μB/f.u.
crystal system	orthorhombic
ΔE to the lowest computed polymorph	288	meV/atom
raw total energy	-4.277	eV/atom

---

Entry from the Alexandria database: a geometry-optimized YMgBr2 structure (PBE).

Unit cell a=3.6674 b=3.6674 c=31.3575 alpha=90.00 beta=90.00 gamma=120.00
Closest atoms and distances in Å follow each position.
Space group R-3m (No. 166, hexagonal axes)
Unique sites:
Y (0.0000, 0.0000, 0.0000) (multiplicity 3)  6 Br 2.90
Mg (0.0000, 0.0000, 0.5000) (multiplicity 3)  2 Br 3.24
Br (0.0000, 0.0000, 0.3965) (multiplicity 6)  3 Y 2.90, 1 Mg 3.24

Computed properties:
total magnetic moment	0.44	μB/f.u.
crystal system	trigonal
ΔE to the lowest computed polymorph	16	meV/atom
raw total energy	-3.836	eV/atom

---

Entry from the Alexandria database: a geometry-optimized YMgBr2 structure (PBE).

Unit cell a=3.5799 b=3.5799 c=9.2327 alpha=90.00 beta=90.00 gamma=90.00
Closest atoms and distances in Å follow each position.
Space group P4mm (No. 99)
Unique sites:
Y (0.0000, 0.0000, 0.0000) (multiplicity 1)  4 Br 3.03
Mg (0.5000, 0.5000, 0.7439) (multiplicity 1)  4 Br 2.89
Br (0.0000, 0.0000, 0.5924) (multiplicity 1)  4 Mg 2.89
Br (0.5000, 0.5000, 0.1810) (multiplicity 1)  4 Y 3.03

Computed properties:
total magnetic moment	0.41	μB/f.u.
crystal system	tetragonal
ΔE to the lowest computed polymorph	0	meV/atom
raw total energy	-3.852	eV/atom

---

Question: Which formula does entry 4 have?
Answer: YMgBr2

---

Question: Look up the total magnetic moment of the fourth one.
Answer: 0.41 μB/f.u.

---

Question: Look up the ΔE to the lowest computed polymorph of the third one.
Answer: 16 meV/atom